(1)
The following is a PBE calculation of TlHOs2 after structural relaxation, from Alexandria.

Computed properties:
Electronic total energy, eV/atom: -5.267

Cell: 6.1793 6.1793 6.1793 Å, 90.00 90.00 90.00°
Space group Fm-3m (No. 225)
One atom of each set of equivalent atoms:
1 Tl 0.0000 0.0000 0.0000 x4
2 H 0.0000 0.0000 0.5000 x4
3 Os 0.2500 0.2500 0.2500 x8

---

(2)
The following is a PBE calculation of TlHOs3 after structural relaxation, from Alexandria.

Computed properties:
Electronic total energy, eV/atom: -4.025

Cell: 5.0720 5.0720 5.0720 Å, 90.00 90.00 90.00°
Space group Pm-3m (No. 221)
One atom of each set of equivalent atoms:
1 Tl 0.0000 0.0000 0.0000 x1
2 H 0.5000 0.5000 0.5000 x1
3 Os 0.0000 0.0000 0.5000 x3

---

(3)
The following is a PBE calculation of TlH3Os after structural relaxation, from Alexandria.

Computed properties:
Electronic total energy, eV/atom: -4.212

Cell: 3.6903 3.6903 3.6903 Å, 90.00 90.00 90.00°
Space group Pm-3m (No. 221)
One atom of each set of equivalent atoms:
1 Tl 0.0000 0.0000 0.0000 x1
2 H 0.0000 0.5000 0.5000 x3
3 Os 0.5000 0.5000 0.5000 x1

---

(4)
The following is a PBE calculation of YTlH2Os after structural relaxation, from Alexandria.

Computed properties:
Electronic total energy, eV/atom: -4.887

Cell: 3.9913 3.9913 5.6364 Å, 90.00 90.00 90.00°
Space group P4/mmm (No. 123)
One atom of each set of equivalent atoms:
1 Y 0.0000 0.0000 0.0000 x1
2 Tl 0.5000 0.5000 0.5000 x1
3 H 0.0000 0.5000 0.0000 x2
4 Os 0.0000 0.0000 0.5000 x1

---

(5)
The following is a PBE calculation of ZrTl2HOs after structural relaxation, from Alexandria.

Computed properties:
Electronic total energy, eV/atom: -4.356

Cell: 5.6075 5.6075 3.4784 Å, 90.00 90.00 90.00°
Space group P4/mmm (No. 123)
One atom of each set of equivalent atoms:
1 Zr 0.0000 0.0000 0.0000 x1
2 Tl 0.0000 0.5000 0.0000 x2
3 H 0.0000 0.0000 0.5000 x1
4 Os 0.5000 0.5000 0.5000 x1

---

(6)
The following is a PBE calculation of TmHOs after structural relaxation, from Alexandria.

Computed properties:
Electronic total energy, eV/atom: -6.264

Cell: 2.9548 15.9404 3.8021 Å, 90.00 90.00 90.00°
Space group Cmcm (No. 63)
One atom of each set of equivalent atoms:
1 Tm 0.0000 0.0871 0.2500 x4
2 H 0.0000 0.4672 0.2500 x4
3 Os 0.0000 0.2245 0.7500 x4

---

(7)
The following is a PBE calculation of Tm12H5Os3 after structural relaxation, from Alexandria.

Computed properties:
Electronic total energy, eV/atom: -5.529

Cell: 14.8572 14.8572 14.8572 Å, 90.00 90.00 90.00°
Space group Ia-3d (No. 230)
One atom of each set of equivalent atoms:
1 Tm 0.0322 0.0612 0.6562 x96
2 H 0.0000 0.0000 0.0000 x16
3 H 0.0000 0.2500 0.3750 x24
4 Os 0.0000 0.2500 0.1250 x24

---

(8)
The following is a PBE calculation of U2HOs after structural relaxation, from Alexandria.

Computed properties:
Electronic total energy, eV/atom: -8.885

Cell: 3.0019 3.0019 26.3827 Å, 90.00 90.00 120.00°
Space group R-3m (No. 166, hexagonal axes)
One atom of each set of equivalent atoms:
1 U 0.0000 0.0000 0.0788 x6
2 H 0.0000 0.0000 0.0000 x3
3 Os 0.0000 0.0000 0.5000 x3